# 1
## Li2AuCl4 (PBE)

Data for a relaxed structure of Li2AuCl4.

Results
energy relative to the lowest polymorph listed for this composition	0.000	eV per atom

a = 6.3845 Å, b = 6.3845 Å, c = 5.9726 Å
α = 122.31°, β = 122.31°, γ = 90.00°
Last column: nearest neighbours and their distance in Å.
Fractional positions:
Li: 0.7500 0.2500 0.5000  4 Cl 2.52
Li: 0.2500 0.7500 0.5000  4 Cl 2.52
Cl: 0.8625 0.3509 0.2134  1 Au 2.46, 2 Li 2.52
Cl: 0.1375 0.1375 0.7866  1 Au 2.46, 2 Li 2.52
Cl: 0.3509 0.8625 0.2134  1 Au 2.46, 2 Li 2.52
Cl: 0.6491 0.6491 0.7866  1 Au 2.46, 2 Li 2.52
Au: 0.5000 0.5000 0.0000  4 Cl 2.46


# 2
## CuSn2AuSe4 (PBE)

Data for a relaxed structure of CuSn2AuSe4.

a = 6.5463 Å, b = 6.5463 Å, c = 6.8375 Å
α = 112.78°, β = 112.78°, γ = 101.01°
Last column: nearest neighbours and their distance in Å.
Fractional positions:
Se: 0.8397 0.3874 0.2271  1 Cu 2.39
Se: 0.1694 0.1694 0.7590  1 Au 2.45, 1 Cu 2.53
Se: 0.5895 0.5895 0.7590  1 Au 2.45, 1 Cu 2.53
Se: 0.3874 0.8397 0.2271  1 Cu 2.39
Sn: 0.7741 0.2741 0.5483  4 Se 2.72-2.79
Sn: 0.2741 0.7741 0.5483  4 Se 2.72-2.79
Cu: 0.5485 0.5485 0.0969  4 Se 2.39-2.53
Au: 0.9175 0.9175 0.8350  2 Se 2.45


no.,uncorrected formation energy (eV/atom),DOS(E_F) (states/eV per cell),final energy (eV per atom)
1,-1.017,1.94,-3.09
2,-0.218,2.07,-3.88